Below is crystalline PaBiRu2 at its relaxed geometry, with properties calculated at the PBE-GGA level.

a = 3.4726 Å, b = 3.4726 Å, c = 6.8400 Å
α = 90.00°, β = 90.00°, γ = 90.00°
Element x y z (fractional)
Bi1 0.5000 0.5000 0.5000
Ru1 0.0000 0.0000 0.2088
Ru2 0.0000 0.0000 0.7912
Pa1 0.5000 0.5000 0.0000

Computed properties:
The calculated formation energy is -0.105 eV per atom.

Below is crystalline Pa2BiRu at its relaxed geometry, with properties calculated at the PBE-GGA level.

a = 3.6663 Å, b = 3.6663 Å, c = 10.1193 Å
α = 79.56°, β = 79.56°, γ = 60.00°
Element x y z (fractional)
Bi1 0.0000 0.0000 0.0000
Ru1 0.5000 0.5000 0.5000
Pa1 0.8912 0.8912 0.3265
Pa2 0.1088 0.1088 0.6735

Computed properties:
The calculated formation energy is 0.092 eV per atom.

Number 1: polymorph energy (0 for the lowest one) 28 meV/atom, total magnetic moment 0.000 μB/atom, volume 20.621 Å³ per atom. Number 2: polymorph energy (0 for the lowest one) 348 meV/atom, total magnetic moment 0.238 μB/atom, volume 28.798 Å³ per atom.